# 1
Crystalline CaAcGe2Pt5 at its relaxed geometry. Source: Alexandria, functional GGA-PBE.

Summary:
- ΔH_f (0 K) (eV/atom) = -0.79
- DOS(E_F) (states/eV per cell) = 5.28
- E (eV per atom) = -5.85
- size of the total moment (μB/atom) = 0.000

```
CaAcGe2Pt5
1.0
4.3862 0.0000 0.0000
0.0000 4.3862 0.0000
0.0000 0.0000 9.2421
Ca Ac Ge Pt
1 1 2 5
direct
0.0000 0.0000 0.0000
0.0000 0.0000 0.5000
0.5000 0.5000 0.1361
0.5000 0.5000 0.8639
0.0000 0.5000 0.2618
0.0000 0.5000 0.7382
0.5000 0.0000 0.2618
0.5000 0.0000 0.7382
0.5000 0.5000 0.5000
```

---

# 2
Crystalline SmGdY at its relaxed geometry. Source: Alexandria, functional GGA-PBE.

Summary:
- ΔH_f (0 K) (eV/atom) = 0.02
- DOS(E_F) (states/eV per cell) = 9.92
- E (eV per atom) = -8.40
- size of the total moment (μB/atom) = 2.440

```
SmGdY
1.0
3.6075 0.0000 0.0000
0.0000 3.6075 0.0000
0.0000 0.0000 15.1727
Sm Gd Y
2 2 2
direct
0.0000 0.0000 0.0000
0.5000 0.5000 0.5000
0.0000 0.0000 0.6668
0.5000 0.5000 0.1668
0.0000 0.0000 0.3345
0.5000 0.5000 0.8345
```

---

# 3
Crystalline V8NiGe2 at its relaxed geometry. Source: Alexandria, functional GGA-PBE.

Summary:
- ΔH_f (0 K) (eV/atom) = -0.18
- DOS(E_F) (states/eV per cell) = 11.12
- E (eV per atom) = -8.17
- size of the total moment (μB/atom) = 0.000

```
V8NiGe2
1.0
6.1989 -2.1086 0.0000
6.1989 2.1086 0.0000
-3.1309 0.0000 5.6390
V Ni Ge
8 1 2
direct
0.0332 0.0332 0.2284
0.1396 0.1396 0.6824
0.3213 0.3213 0.6099
0.4082 0.4082 0.0594
0.5918 0.5918 0.9406
0.6787 0.6787 0.3901
0.8604 0.8604 0.3176
0.9668 0.9668 0.7716
0.5000 0.5000 0.5000
0.2159 0.2159 0.1542
0.7841 0.7841 0.8458
```